Computed, not measured: crystalline BeAlIn2 at its relaxed geometry at the GGA-PBE level of DFT.

Structure (POSCAR):
```
BeAlIn2
1.0
3.154 0.000 0.000
0.000 3.154 0.000
0.000 0.000 7.907
Be Al In
1 1 2
Direct
0.000 0.000 0.000 Be
0.500 0.500 0.844 Al
0.000 0.000 0.570 In
0.500 0.500 0.229 In
```

E: -2.94 eV per atom
Density of states at the Fermi level: 1.645 states/eV/cell
Magnetic moment: 0.0000 μB per atom
Energy above the lowest structure with this stoichiometry: 0 meV per atom
Theoretical density: 5.61 g cm⁻³
Space-group type: No. 99